This record from Alexandria describes crystalline LiSmGdPd at its relaxed geometry. The functional is PBE-GGA.

Geometry as POSCAR:
```
LiSmGdPd
1.0
-2.251 -4.549 -0.525
2.698 -4.276 0.686
-0.843 -2.918 4.100
Li Pd Sm Gd
1 1 1 1
Direct
0.000 0.000 0.000
0.500 0.500 0.500
0.750 0.750 0.750
0.250 0.250 0.250
```

Output
The value obtained for the formation energy is -1.5 eV/f.u. For the density of states at the Fermi level, the calculation gives 3.3 states/eV/cell. As for the space group: No. 216. The volume is 93.9 Å³/cell. The calculation puts the magnetic moment at 1.796 μB/atom.



This record from Alexandria describes crystalline Sr2Tl3Ag at its relaxed geometry. The functional is PBE-GGA.

Geometry as POSCAR:
```
Sr2Tl3Ag
1.0
-3.073 -0.604 -4.042
-2.648 -5.916 -0.338
-6.336 1.004 1.433
Tl Ag Sr
3 1 2
Direct
0.160 0.779 0.901
0.851 0.611 0.687
0.822 0.232 0.124
0.170 0.376 0.284
0.458 0.791 0.292
0.538 0.211 0.712
```

Output
The value obtained for the formation energy is -2.0 eV/f.u. As for the offset from the most stable computed form: 0.00 eV/f.u. For the density of states at the Fermi level, the calculation gives 3.3 states/eV/cell. As for the space group: No. 8. The volume is 183.7 Å³/cell. The calculation puts the magnetic moment at 0.000 μB/atom.